Er2ZnCu3: optimized geometry, GGA-PBE.

Values from the calculation:
As for the total moment: 0.00 μB per formula unit. The energy above the most stable polymorph in this dataset is 0.0202 eV/atom. For the density of states at the Fermi level, the calculation gives 6.4 states/eV per cell. For the formation energy, the calculation gives -0.286 eV per atom. The total energy comes out at -48.81 eV/cell.

Structure (POSCAR):
```
Er2ZnCu3
1.0
5.514 -0.517 0.000
-0.731 5.490 0.000
-2.392 -2.486 7.385
Er Zn Cu
4 2 6
direct
0.250 0.750 0.500
0.246 0.246 0.000
0.754 0.754 0.000
0.750 0.250 0.500
0.667 0.667 0.334
0.333 0.333 0.666
0.165 0.165 0.331
0.835 0.835 0.669
0.834 0.333 0.167
0.166 0.667 0.833
0.333 0.834 0.167
0.667 0.166 0.833
```